Material: BeZnCrN2
Method: DFT, PBE
State: relaxed

Unit cell a=3.516 b=3.516 c=4.520 alpha=90.00 beta=90.00 gamma=90.00
Space group P4/mmm (No. 123)
One atom of each set of equivalent atoms:
Be: 0.000 0.000 0.000 [1 per cell]
Zn: 0.500 0.500 0.500 [1 per cell]
Cr: 0.000 0.000 0.500 [1 per cell]
N: 0.000 0.500 0.000 [2 per cell]

Summary:
E_form (uncorrected)   117.08 kJ/mol of atoms